Record 1
Material: YTmGa2Pd5
Method: DFT, PBE
State: optimized geometry

Structure (POSCAR):
```
YTmGa2Pd5
1.0
-0.382 3.997 -1.192
-3.176 -1.055 -2.518
-5.975 1.489 6.912
Y Tm Ga Pd
1 1 2 5
direct
0.000 0.000 0.500
0.000 0.000 0.000
0.500 0.500 0.133
0.500 0.500 0.867
0.000 0.500 0.276
0.500 0.000 0.276
0.000 0.500 0.724
0.500 0.000 0.724
0.500 0.500 0.500
```

Values from the calculation:
Energy of formation (kJ per mole of atoms): -77.9
DFT total energy (eV/cell): -50.2

***

Record 2
Material: KAlPO2
Method: DFT, PBE
State: optimized geometry

Structure (POSCAR):
```
KAlPO2
1.0
-3.253 -1.402 1.793
2.249 -2.462 2.155
0.430 3.408 3.445
P K Al O
1 1 1 2
direct
0.000 0.000 0.500
0.500 0.500 0.500
0.000 0.000 0.000
0.000 0.500 0.000
0.500 0.000 0.000
```

Values from the calculation:
Formation energy from raw total energies (eV per formula unit): -3.461
E above lowest polymorph (kJ per mole of atoms): 0.0
DFT total energy (eV/cell): -23.6

***

Computed magnetic moment, in the same sequence as the records: 0.000, 2.361 μB per formula unit.